BeCu2: relaxed, PBE.

```
BeCu2
1.0
3.876 0.000 0.000
-1.938 3.356 0.000
0.000 0.000 4.891
Be Cu
2 4
direct
0.333 0.667 0.250
0.667 0.333 0.750
0.000 0.000 0.000
0.000 0.000 0.500
0.333 0.667 0.750
0.667 0.333 0.250
```

Properties
Total magnetic moment, μB per cell: 0.00
Calculated volume, Å³/atom: 10.6
Energy of formation from the pure elements, eV per atom: -0.03
Fermi-level density of states, states/eV/cell: 0.98
SG: P6_3/mmc